No. 1
DFT (PBE) results for a relaxed CaAcPO crystal.

Summary:
ρ in Mg/m³: 5.4
SG: P4/nmm, No. 129
DFT total energy in eV/atom: -6.12

CIF file:
```
data_CaAcPO
_chemical_formula_sum 'Ca2 Ac2 P2 O2'
_symmetry_space_group_name_H-M 'P 1'
_symmetry_Int_Tables_number 1
_cell_length_a 4.481
_cell_length_b 4.481
_cell_length_c 9.576
_cell_angle_alpha 90.00
_cell_angle_beta 90.00
_cell_angle_gamma 90.00
loop_
_symmetry_equiv_pos_as_xyz
'x,y,z'
loop_
_atom_site_label
_atom_site_type_symbol
_atom_site_fract_x
_atom_site_fract_y
_atom_site_fract_z
Ca1 Ca 0.000 0.000 0.500
Ca2 Ca 0.500 0.500 0.500
Ac1 Ac 0.000 0.500 0.880
P1 P 0.500 0.000 0.679
O1 O 0.500 0.500 0.000
O2 O 0.000 0.000 0.000
P2 P 0.000 0.500 0.321
Ac2 Ac 0.500 0.000 0.120
```

No. 2
DFT (PBE) results for a relaxed CaAcP2O8 crystal.

Summary:
ρ in Mg/m³: 4.4
SG: I-4m2, No. 119
DFT total energy in eV/atom: -7.41

CIF file:
```
data_CaAcP2O8
_chemical_formula_sum 'Ca1 Ac1 P2 O8'
_symmetry_space_group_name_H-M 'P 1'
_symmetry_Int_Tables_number 1
_cell_length_a 6.086
_cell_length_b 6.086
_cell_length_c 6.086
_cell_angle_alpha 106.19
_cell_angle_beta 106.19
_cell_angle_gamma 116.25
loop_
_symmetry_equiv_pos_as_xyz
'x,y,z'
loop_
_atom_site_label
_atom_site_type_symbol
_atom_site_fract_x
_atom_site_fract_y
_atom_site_fract_z
P1 P 0.500 0.500 0.000
O1 O 0.816 0.650 0.166
O2 O 0.894 0.565 0.671
Ac1 Ac 0.250 0.750 0.500
O3 O 0.350 0.516 0.166
O4 O 0.777 0.106 0.671
Ca1 Ca 0.000 0.000 0.000
O5 O 0.435 0.106 0.329
P2 P 0.750 0.250 0.500
O6 O 0.894 0.223 0.329
O7 O 0.350 0.184 0.834
O8 O 0.484 0.650 0.834
```

No. 3
DFT (PBE) results for a relaxed CaAc2PO8 crystal.

Summary:
ρ in Mg/m³: 6.5
SG: P-3m1, No. 164
DFT total energy in eV/atom: -6.80

CIF file:
```
data_CaAc2PO8
_chemical_formula_sum 'Ca1 Ac2 P1 O8'
_symmetry_space_group_name_H-M 'P 1'
_symmetry_Int_Tables_number 1
_cell_length_a 5.451
_cell_length_b 5.451
_cell_length_c 6.517
_cell_angle_alpha 90.00
_cell_angle_beta 90.00
_cell_angle_gamma 120.00
loop_
_symmetry_equiv_pos_as_xyz
'x,y,z'
loop_
_atom_site_label
_atom_site_type_symbol
_atom_site_fract_x
_atom_site_fract_y
_atom_site_fract_z
Ac1 Ac 0.667 0.333 0.156
O1 O 0.148 0.852 0.154
O2 O 0.333 0.667 0.501
Ac2 Ac 0.333 0.667 0.844
O3 O 0.148 0.295 0.154
Ca1 Ca 0.000 0.000 0.500
O4 O 0.705 0.852 0.154
O5 O 0.852 0.705 0.846
O6 O 0.667 0.333 0.499
P1 P 0.000 0.000 0.000
O7 O 0.852 0.148 0.846
O8 O 0.295 0.148 0.846
```

No. 4
DFT (PBE) results for a relaxed CaAcPO5 crystal.

Summary:
ρ in Mg/m³: 4.8
SG: C2/c, No. 15
DFT total energy in eV/atom: -7.41

CIF file:
```
data_CaAcPO5
_chemical_formula_sum 'Ca2 Ac2 P2 O10'
_symmetry_space_group_name_H-M 'P 1'
_symmetry_Int_Tables_number 1
_cell_length_a 5.846
_cell_length_b 5.846
_cell_length_c 8.288
_cell_angle_alpha 99.55
_cell_angle_beta 99.55
_cell_angle_gamma 106.24
loop_
_symmetry_equiv_pos_as_xyz
'x,y,z'
loop_
_atom_site_label
_atom_site_type_symbol
_atom_site_fract_x
_atom_site_fract_y
_atom_site_fract_z
O1 O 0.882 0.118 0.750
O2 O 0.702 0.545 0.391
O3 O 0.644 0.083 0.320
Ac1 Ac 0.000 0.000 0.000
O4 O 0.356 0.917 0.680
O5 O 0.917 0.356 0.180
P1 P 0.680 0.320 0.250
P2 P 0.320 0.680 0.750
O6 O 0.455 0.298 0.109
O7 O 0.298 0.455 0.609
Ca1 Ca 0.347 0.653 0.250
O8 O 0.118 0.882 0.250
Ac2 Ac 0.000 0.000 0.500
Ca2 Ca 0.653 0.347 0.750
O9 O 0.083 0.644 0.820
O10 O 0.545 0.702 0.891
```

No. 5
DFT (PBE) results for a relaxed CaAcPa2O8 crystal.

Summary:
ρ in Mg/m³: 8.4
SG: I-4m2, No. 119
DFT total energy in eV/atom: -8.73

CIF file:
```
data_CaAcPa2O8
_chemical_formula_sum 'Ca1 Ac1 Pa2 O8'
_symmetry_space_group_name_H-M 'P 1'
_symmetry_Int_Tables_number 1
_cell_length_a 5.593
_cell_length_b 5.593
_cell_length_c 6.727
_cell_angle_alpha 114.57
_cell_angle_beta 114.57
_cell_angle_gamma 90.00
loop_
_symmetry_equiv_pos_as_xyz
'x,y,z'
loop_
_atom_site_label
_atom_site_type_symbol
_atom_site_fract_x
_atom_site_fract_y
_atom_site_fract_z
O1 O 0.370 0.399 0.246
Ca1 Ca 0.000 0.000 0.000
O2 O 0.370 0.847 0.247
O3 O 0.600 0.630 0.753
O4 O 0.153 0.630 0.754
O5 O 0.876 0.847 0.246
Pa1 Pa 0.250 0.750 0.500
O6 O 0.601 0.124 0.754
O7 O 0.877 0.400 0.247
Ac1 Ac 0.750 0.250 0.500
Pa2 Pa 0.500 0.500 0.000
O8 O 0.153 0.123 0.753
```

No. 6
DFT (PBE) results for a relaxed Ca2Ac4Pb3O2 crystal.

Summary:
ρ in Mg/m³: 7.7
SG: I4/mmm, No. 139
DFT total energy in eV/atom: -5.05

CIF file:
```
data_Ca2Ac4Pb3O2
_chemical_formula_sum 'Ca2 Ac4 Pb3 O2'
_symmetry_space_group_name_H-M 'P 1'
_symmetry_Int_Tables_number 1
_cell_length_a 5.188
_cell_length_b 5.188
_cell_length_c 13.713
_cell_angle_alpha 100.90
_cell_angle_beta 100.90
_cell_angle_gamma 90.00
loop_
_symmetry_equiv_pos_as_xyz
'x,y,z'
loop_
_atom_site_label
_atom_site_type_symbol
_atom_site_fract_x
_atom_site_fract_y
_atom_site_fract_z
O1 O 0.395 0.395 0.790
O2 O 0.605 0.605 0.210
Ac1 Ac 0.590 0.090 0.180
Pb1 Pb 0.821 0.821 0.643
Ac2 Ac 0.910 0.410 0.820
Ac3 Ac 0.090 0.590 0.180
Ca1 Ca 0.699 0.699 0.398
Pb2 Pb 0.000 0.000 0.000
Ca2 Ca 0.301 0.301 0.602
Pb3 Pb 0.179 0.179 0.357
Ac4 Ac 0.410 0.910 0.820
```

No. 7
DFT (PBE) results for a relaxed Ca2AcPbO6 crystal.

Summary:
ρ in Mg/m³: 6.2
SG: R3, No. 146
DFT total energy in eV/atom: -6.36

CIF file:
```
data_Ca2AcPbO6
_chemical_formula_sum 'Ca2 Ac1 Pb1 O6'
_symmetry_space_group_name_H-M 'P 1'
_symmetry_Int_Tables_number 1
_cell_length_a 5.992
_cell_length_b 5.992
_cell_length_c 6.266
_cell_angle_alpha 61.44
_cell_angle_beta 61.43
_cell_angle_gamma 60.00
loop_
_symmetry_equiv_pos_as_xyz
'x,y,z'
loop_
_atom_site_label
_atom_site_type_symbol
_atom_site_fract_x
_atom_site_fract_y
_atom_site_fract_z
Ca1 Ca 0.021 0.021 0.936
O1 O 0.403 0.695 0.760
Ac1 Ac 0.803 0.803 0.590
O2 O 0.943 0.600 0.245
O3 O 0.600 0.212 0.245
O4 O 0.142 0.403 0.760
Pb1 Pb 0.313 0.313 0.061
Ca2 Ca 0.529 0.529 0.414
O5 O 0.695 0.142 0.760
O6 O 0.212 0.943 0.245
```

No. 8
DFT (PBE) results for a relaxed CaAc2PbO6 crystal.

Summary:
ρ in Mg/m³: 8.2
SG: P2_1/c, No. 14
DFT total energy in eV/atom: -6.95

CIF file:
```
data_CaAc2PbO6
_chemical_formula_sum 'Ca2 Ac4 Pb2 O12'
_symmetry_space_group_name_H-M 'P 1'
_symmetry_Int_Tables_number 1
_cell_length_a 5.999
_cell_length_b 6.230
_cell_length_c 8.646
_cell_angle_alpha 90.00
_cell_angle_beta 90.06
_cell_angle_gamma 90.00
loop_
_symmetry_equiv_pos_as_xyz
'x,y,z'
loop_
_atom_site_label
_atom_site_type_symbol
_atom_site_fract_x
_atom_site_fract_y
_atom_site_fract_z
O1 O 0.205 0.193 0.441
O2 O 0.190 0.207 0.066
O3 O 0.882 0.551 0.242
Ac1 Ac 0.984 0.054 0.749
O4 O 0.705 0.307 0.941
O5 O 0.295 0.693 0.059
O6 O 0.310 0.707 0.434
O7 O 0.690 0.293 0.566
Ac2 Ac 0.516 0.554 0.751
O8 O 0.618 0.051 0.258
Ac3 Ac 0.484 0.446 0.249
O9 O 0.382 0.949 0.742
Ca1 Ca 0.500 0.000 0.000
O10 O 0.118 0.449 0.758
O11 O 0.810 0.793 0.934
Ac4 Ac 0.016 0.946 0.251
Ca2 Ca 0.000 0.500 0.500
Pb1 Pb 0.500 0.000 0.500
O12 O 0.795 0.807 0.559
Pb2 Pb 0.000 0.500 0.000
```

No. 9
DFT (PBE) results for a relaxed CaAc2PbO5 crystal.

Summary:
ρ in Mg/m³: 7.7
SG: P4/mbm, No. 127
DFT total energy in eV/atom: -6.56

CIF file:
```
data_CaAc2PbO5
_chemical_formula_sum 'Ca2 Ac4 Pb2 O10'
_symmetry_space_group_name_H-M 'P 1'
_symmetry_Int_Tables_number 1
_cell_length_a 6.631
_cell_length_b 7.136
_cell_length_c 7.136
_cell_angle_alpha 90.00
_cell_angle_beta 90.00
_cell_angle_gamma 90.00
loop_
_symmetry_equiv_pos_as_xyz
'x,y,z'
loop_
_atom_site_label
_atom_site_type_symbol
_atom_site_fract_x
_atom_site_fract_y
_atom_site_fract_z
Ac1 Ac 0.500 0.671 0.171
O1 O 0.500 0.500 0.500
O2 O 0.500 0.000 0.000
Ca1 Ca 0.000 0.500 0.500
O3 O 0.250 0.164 0.664
Ca2 Ca 0.000 0.000 0.000
O4 O 0.750 0.836 0.336
Ac2 Ac 0.500 0.829 0.671
O5 O 0.250 0.664 0.836
O6 O 0.750 0.164 0.664
O7 O 0.250 0.336 0.164
Ac3 Ac 0.500 0.171 0.329
Ac4 Ac 0.500 0.329 0.829
Pb1 Pb 0.000 0.500 0.000
O8 O 0.750 0.336 0.164
O9 O 0.250 0.836 0.336
O10 O 0.750 0.664 0.836
Pb2 Pb 0.000 0.000 0.500
```

No. 10
DFT (PBE) results for a relaxed CaAcPbO4 crystal.

Summary:
ρ in Mg/m³: 6.7
SG: Imma, No. 74
DFT total energy in eV/atom: -6.48

CIF file:
```
data_CaAcPbO4
_chemical_formula_sum 'Ca2 Ac2 Pb2 O8'
_symmetry_space_group_name_H-M 'P 1'
_symmetry_Int_Tables_number 1
_cell_length_a 7.120
_cell_length_b 7.188
_cell_length_c 7.477
_cell_angle_alpha 121.34
_cell_angle_beta 90.00
_cell_angle_gamma 119.69
loop_
_symmetry_equiv_pos_as_xyz
'x,y,z'
loop_
_atom_site_label
_atom_site_type_symbol
_atom_site_fract_x
_atom_site_fract_y
_atom_site_fract_z
Ac1 Ac 0.500 0.000 0.500
O1 O 0.273 0.012 0.256
O2 O 0.727 0.988 0.744
O3 O 0.261 0.988 0.744
O4 O 0.247 0.494 0.274
O5 O 0.739 0.012 0.256
Ca1 Ca 0.882 0.765 0.132
Ca2 Ca 0.118 0.235 0.868
Pb1 Pb 0.000 0.500 0.500
Ac2 Ac 0.500 0.000 0.000
O6 O 0.753 0.506 0.726
Pb2 Pb 0.500 0.500 0.500
O7 O 0.247 0.494 0.720
O8 O 0.753 0.506 0.280
```

Number 1: calculated volume 24.039 Å³ per atom. Number 2: calculated volume 14.304 Å³ per atom. Number 3: calculated volume 13.975 Å³ per atom. Number 4: calculated volume 16.333 Å³ per atom. Number 5: calculated volume 14.186 Å³ per atom. Number 6: calculated volume 32.331 Å³ per atom. Number 7: calculated volume 16.244 Å³ per atom. Number 8: calculated volume 16.154 Å³ per atom. Number 9: calculated volume 18.759 Å³ per atom. Number 10: calculated volume 19.020 Å³ per atom.